1.
Density functional theory data (PBE) for crystalline Y3ErSc2As6 at its relaxed geometry.

a b c (Å): 6.9990 6.9990 6.9901
angles (deg): 99.61 99.61 120.00
Last column: nearest neighbours and their distance in Å.
Fractional positions:
1 Y 0.1650 0.8350 0.5000  6 As 2.87-2.92
2 Y 0.8350 0.1650 0.5000  6 As 2.87-2.92
3 Y 0.5000 0.5000 0.5000  6 As 2.87-2.92
4 Er 0.0000 0.0000 0.0000  6 As 2.85
5 Sc 0.3327 0.6673 0.0000  6 As 2.79-2.80
6 Sc 0.6673 0.3327 0.0000  6 As 2.79-2.80
7 As 0.9202 0.5803 0.7607  2 Sc 2.79-2.80, 1 Er 2.85, 3 Y 2.87-2.92
8 As 0.7392 0.7392 0.2377  2 Sc 2.80, 1 Er 2.85, 3 Y 2.87-2.91
9 As 0.0798 0.4197 0.2393  2 Sc 2.79-2.80, 1 Er 2.85, 3 Y 2.87-2.92
10 As 0.5803 0.9202 0.7607  2 Sc 2.79-2.80, 1 Er 2.85, 3 Y 2.87-2.92
11 As 0.2608 0.2608 0.7623  2 Sc 2.80, 1 Er 2.85, 3 Y 2.87-2.91
12 As 0.4197 0.0798 0.2393  2 Sc 2.79-2.80, 1 Er 2.85, 3 Y 2.87-2.92

2.
Density functional theory data (PBE) for crystalline Y2ErScAs4 at its relaxed geometry.

a b c (Å): 4.0589 7.0238 7.0227
angles (deg): 109.48 90.00 90.00
Last column: nearest neighbours and their distance in Å.
Fractional positions:
1 Y 0.5000 0.0000 0.5000  6 As 2.88
2 Y 0.0000 0.5000 0.5000  6 As 2.93
3 Er 0.5000 0.5000 0.0000  6 As 2.86
4 Sc 0.0000 0.0000 0.0000  6 As 2.81
5 As 0.5000 0.2409 0.2390  2 Sc 2.81, 1 Er 2.86, 3 Y 2.88-2.93
6 As 0.5000 0.7591 0.7610  2 Sc 2.81, 1 Er 2.86, 3 Y 2.88-2.93
7 As 0.0000 0.2469 0.7570  1 Sc 2.81, 2 Er 2.86, 3 Y 2.88-2.93
8 As 0.0000 0.7531 0.2430  1 Sc 2.81, 2 Er 2.86, 3 Y 2.88-2.93

3.
Density functional theory data (PBE) for crystalline YErSc2As4 at its relaxed geometry.

a b c (Å): 3.9978 6.9062 6.9201
angles (deg): 70.49 90.00 90.00
Last column: nearest neighbours and their distance in Å.
Fractional positions:
1 Y 0.0000 0.5000 0.5000  6 As 2.88
2 Er 0.5000 0.5000 0.0000  6 As 2.87
3 Sc 0.0000 0.0000 0.0000  6 As 2.76-2.77
4 Sc 0.5000 0.0000 0.5000  6 As 2.78
5 As 0.0000 0.7636 0.7469  3 Sc 2.76-2.78, 2 Er 2.87, 1 Y 2.88
6 As 0.0000 0.2364 0.2531  3 Sc 2.76-2.78, 2 Er 2.87, 1 Y 2.88
7 As 0.5000 0.7647 0.2438  3 Sc 2.77-2.78, 1 Er 2.87, 2 Y 2.88
8 As 0.5000 0.2353 0.7562  3 Sc 2.77-2.78, 1 Er 2.87, 2 Y 2.88

4.
Density functional theory data (PBE) for crystalline ErZrSc2As4 at its relaxed geometry.

a b c (Å): 3.9250 6.7734 6.8001
angles (deg): 70.64 90.00 90.00
Last column: nearest neighbours and their distance in Å.
Fractional positions:
1 Er 0.5000 0.5000 0.0000  6 As 2.82
2 Zr 0.0000 0.5000 0.5000  6 As 2.77-2.78
3 Sc 0.0000 0.0000 0.0000  6 As 2.77
4 Sc 0.5000 0.0000 0.5000  6 As 2.72-2.73
5 As 0.0000 0.7589 0.7415  3 Sc 2.73-2.77, 1 Zr 2.77, 2 Er 2.82
6 As 0.0000 0.2411 0.2585  3 Sc 2.73-2.77, 1 Zr 2.77, 2 Er 2.82
7 As 0.5000 0.7551 0.2536  3 Sc 2.72-2.77, 2 Zr 2.78, 1 Er 2.82
8 As 0.5000 0.2449 0.7464  3 Sc 2.72-2.77, 2 Zr 2.78, 1 Er 2.82

Number 1: calculated formation energy -1.48 eV/atom, VASP energy -0.25180 Ha/atom. Number 2: calculated formation energy -1.49 eV/atom, VASP energy -0.24958 Ha/atom. Number 3: calculated formation energy -1.45 eV/atom, VASP energy -0.24741 Ha/atom. Number 4: calculated formation energy -1.35 eV/atom, VASP energy -0.25352 Ha/atom.